Record 1
The following is a DFT calculation (PBE) of a geometry-optimized ZnSbI2N structure.

It has space group P4/mmm (No. 123), with a = 6.199 Å, b = 6.199 Å, c = 3.973 Å, α = 90.00°, β = 90.00° and γ = 90.00°. The inequivalent atoms are Zn at (0.000, 0.000, 0.000), Sb at (0.500, 0.500, 0.500), I at (0.000, 0.500, 0.500) and N at (0.500, 0.500, 0.000).

Its offset from the most stable computed form is 0 meV/atom. The formation energy from raw total energies is 64 kJ per mole of atoms.

---

Record 2
The following is a DFT calculation (PBE) of a geometry-optimized Pa3Al structure.

It has space group Pm-3m (No. 221), with a = 4.529 Å, b = 4.529 Å, c = 4.529 Å, α = 90.00°, β = 90.00° and γ = 90.00°. The inequivalent atoms are Pa at (0.000, 0.000, 0.500) and Al at (0.500, 0.500, 0.500).

Its offset from the most stable computed form is 13 meV/atom. As for the formation energy: -101 meV/atom.

---

Record 3
The following is a DFT calculation (PBE) of a geometry-optimized Li3NiCl structure.

It has space group Pm-3m (No. 221), with a = 4.619 Å, b = 4.619 Å, c = 4.619 Å, α = 90.00°, β = 90.00° and γ = 90.00°. The inequivalent atoms are Li at (0.000, 0.000, 0.500), Ni at (0.000, 0.000, 0.000) and Cl at (0.500, 0.500, 0.500).

Its offset from the most stable computed form is 132 meV/atom. The formation energy from raw total energies is -11 kJ per mole of atoms.

---

Record 4
The following is a DFT calculation (PBE) of a geometry-optimized ZrSc2Hg structure.

It has space group P4mm (No. 99), with a = 3.274 Å, b = 3.274 Å, c = 8.597 Å, α = 90.00°, β = 90.00° and γ = 90.00°. The inequivalent atoms are Zr at (0.000, 0.000, 0.000), Sc at (0.000, 0.000, 0.476), Sc at (0.500, 0.500, 0.753) and Hg at (0.500, 0.500, 0.247).

As for the formation energy: -147 meV/atom.